No. 1
Material: Pm4HoSe5
Method: DFT, PBE-GGA
State: optimized geometry Values from VASP.

Geometry as Quantum ESPRESSO input:
```
&SYSTEM
  ibrav = 0, nat = 10, ntyp = 3
/
ATOMIC_SPECIES
Pm 145.00 Pm.upf
Ho 164.93 Ho.upf
Se 78.96 Se.upf
CELL_PARAMETERS angstrom
2.082 1.202 16.963
-2.082 1.202 16.963
0.000 -2.404 16.963
ATOMIC_POSITIONS angstrom
Pm 0.000 0.000 5.148
Pm 0.000 0.000 15.236
Pm 0.000 0.000 35.653
Pm 0.000 0.000 45.741
Ho 0.000 0.000 25.445
Se 0.000 0.000 0.000
Se 0.000 0.000 10.056
Se 0.000 0.000 20.405
Se 0.000 0.000 30.484
Se 0.000 0.000 40.833
```

Calculated values
* uncorrected energy: -5.9137 eV/atom


No. 2
Material: Hf2MgAl2CoIr2
Method: DFT, PBE-GGA
State: optimized geometry Values from VASP.

Geometry as Quantum ESPRESSO input:
```
&SYSTEM
  ibrav = 0, nat = 8, ntyp = 5
/
ATOMIC_SPECIES
Hf 178.49 Hf.upf
Mg 24.30 Mg.upf
Al 26.98 Al.upf
Co 58.93 Co.upf
Ir 192.22 Ir.upf
CELL_PARAMETERS angstrom
4.462 0.000 0.000
0.000 4.462 0.000
0.000 0.000 6.352
ATOMIC_POSITIONS angstrom
Hf 0.000 2.231 1.512
Hf 2.231 0.000 4.840
Mg 0.000 0.000 3.176
Al 0.000 2.231 4.811
Al 2.231 0.000 1.541
Co 2.231 2.231 0.000
Ir 0.000 0.000 0.000
Ir 2.231 2.231 3.176
```

Calculated values
* uncorrected energy: -7.3963 eV/atom